[1]
A plane-wave DFT calculation with meta-GGA SCAN was carried out for a crystal of Na3Al2As3O12 relaxed with PBEsol.

crystal system	monoclinic
VASP energy	-1646.72	eV per cell
formation energy (no corrections)	-2.117	eV/atom

Structure (CIF):
```
data_Na3Al2As3O12
_chemical_formula_sum 'Na24 Al16 As24 O96'
_symmetry_space_group_name_H-M 'C 1 2 1'
_symmetry_Int_Tables_number 5
_symmetry_space_group_name_Hall 'C 2y'
_cell_length_a 14.603
_cell_length_b 13.393
_cell_length_c 9.809
_cell_angle_alpha 90.00
_cell_angle_beta 96.70
_cell_angle_gamma 90.00
loop_
_atom_site_label
_atom_site_fract_x
_atom_site_fract_y
_atom_site_fract_z
Na1 0.099 0.000 0.076
Na2 0.100 0.734 0.592
Na3 0.184 0.316 0.266
Na4 0.186 0.502 0.482
Na5 0.202 0.363 0.823
Na6 0.249 0.610 0.765
Al1 0.000 0.112 0.500
Al2 0.000 0.331 0.500
Al3 0.000 0.392 0.000
Al4 0.000 0.613 0.000
Al5 0.109 0.721 0.221
Al6 0.111 0.002 0.720
As1 0.001 0.197 0.802
As2 0.006 0.527 0.702
As3 0.107 0.924 0.406
As4 0.108 0.801 0.909
As5 0.192 0.510 0.083
As6 0.194 0.215 0.574
O1 0.018 0.013 0.369
O2 0.018 0.713 0.871
O3 0.022 0.217 0.379
O4 0.027 0.509 0.881
O5 0.040 0.421 0.374
O6 0.042 0.307 0.872
O7 0.068 0.808 0.352
O8 0.070 0.917 0.853
O9 0.081 0.613 0.334
O10 0.084 0.108 0.835
O11 0.102 0.165 0.151
O12 0.105 0.564 0.648
O13 0.121 0.408 0.084
O14 0.124 0.619 0.080
O15 0.125 0.107 0.578
O16 0.126 0.320 0.576
O17 0.129 0.817 0.083
O18 0.129 0.908 0.580
O19 0.193 0.760 0.825
O20 0.198 0.962 0.332
O21 0.235 0.722 0.276
O22 0.239 0.999 0.764
O23 0.249 0.205 0.435
O24 0.249 0.506 0.945
```

[2]
A plane-wave DFT calculation with meta-GGA SCAN was carried out for a crystal of Na3AlAs2O8 relaxed with PBEsol.

crystal system	monoclinic
VASP energy	-557.28	eV per cell
formation energy (no corrections)	-2.049	eV/atom

Structure (CIF):
```
data_Na3AlAs2O8
_chemical_formula_sum 'Na12 Al4 As8 O32'
_symmetry_space_group_name_H-M 'P 1 21/c 1'
_symmetry_Int_Tables_number 14
_symmetry_space_group_name_Hall '-P 2ybc'
_cell_length_a 6.624
_cell_length_b 11.749
_cell_length_c 9.497
_cell_angle_alpha 90.00
_cell_angle_beta 96.37
_cell_angle_gamma 90.00
loop_
_atom_site_label
_atom_site_fract_x
_atom_site_fract_y
_atom_site_fract_z
Na1 0.096 0.084 0.284
Na2 0.228 0.651 0.625
Na3 0.375 0.605 0.974
Al1 0.282 0.147 0.939
As1 0.137 0.173 0.623
As2 0.395 0.586 0.320
O1 0.077 0.615 0.831
O2 0.083 0.197 0.035
O3 0.230 0.002 0.903
O4 0.251 0.657 0.192
O5 0.272 0.094 0.519
O6 0.281 0.221 0.777
O7 0.408 0.010 0.227
O8 0.479 0.676 0.463
```

[3]
A plane-wave DFT calculation with meta-GGA SCAN was carried out for a crystal of NaAlAs2Se relaxed with PBEsol.

crystal system	tetragonal
VASP energy	-72.33	eV per cell
formation energy (no corrections)	0.019	eV/atom

Structure (CIF):
```
data_NaAlAs2Se
_chemical_formula_sum 'Na1 Al1 As2 Se1'
_symmetry_space_group_name_H-M 'P 4/m m m'
_symmetry_Int_Tables_number 123
_symmetry_space_group_name_Hall '-P 4 2'
_cell_length_a 4.832
_cell_length_b 4.832
_cell_length_c 5.088
_cell_angle_alpha 90.00
_cell_angle_beta 90.00
_cell_angle_gamma 90.00
loop_
_atom_site_label
_atom_site_fract_x
_atom_site_fract_y
_atom_site_fract_z
Na1 0.000 0.000 0.000
Al1 0.500 0.500 0.500
As1 0.000 0.500 0.500
Se1 0.500 0.500 0.000
```

[4]
A plane-wave DFT calculation with meta-GGA SCAN was carried out for a crystal of AlNiAs2 relaxed with PBEsol.

crystal system	orthorhombic
VASP energy	-63.97	eV per cell
ΔH_f (0 K)	0.08	eV/atom

Structure (CIF):
```
data_AlNiAs2
_chemical_formula_sum 'Al1 Ni1 As2'
_symmetry_space_group_name_H-M 'P m m m'
_symmetry_Int_Tables_number 47
_symmetry_space_group_name_Hall '-P 2 2'
_cell_length_a 2.820
_cell_length_b 3.187
_cell_length_c 6.822
_cell_angle_alpha 90.00
_cell_angle_beta 90.00
_cell_angle_gamma 90.00
loop_
_atom_site_label
_atom_site_fract_x
_atom_site_fract_y
_atom_site_fract_z
Al1 0.000 0.000 0.000
Ni1 0.000 0.000 0.500
As1 0.500 0.500 0.285
```